! MnCu4Pd | Alexandria | PBE | optimized geometry; values from VASP
&SYSTEM
  ibrav = 0, nat = 6, ntyp = 3
/
ATOMIC_SPECIES
Mn 54.94 Mn.upf
Cu 63.55 Cu.upf
Pd 106.42 Pd.upf
ATOMIC_POSITIONS crystal
Mn 0.000 0.000 0.000
Cu 0.330 0.330 0.161
Cu 0.332 0.332 0.669
Cu 0.668 0.668 0.331
Cu 0.670 0.670 0.839
Pd 0.000 0.000 0.500
CELL_PARAMETERS angstrom
4.227 -1.850 0.000
4.227 1.850 0.000
-1.766 0.000 4.979
! - space-group type = C2/m, No. 12
! - ΔE_f (eV/atom) = -0.034
! - crystal system = monoclinic